Compound: Zr2CdRh
Source: the Alexandria database
Functional: PBE
Structure: optimized geometry

Summary:
space group = Immm
electronic total energy = -6.640 eV/atom
formation energy = -300 meV/atom
N(E_F) = 1.17 states/eV per atom

a b c (Å): 5.2064 5.2064 5.2064
angles (deg): 135.22 124.78 73.72
Closest atoms and distances in Å follow each position.
Positions (direct):
Zr (0.2240, 0.2240, 0.0000)  2 Rh 2.72, 2 Cd 3.04
Zr (0.7760, 0.7760, 0.0000)  2 Rh 2.72, 2 Cd 3.04
Cd (0.5000, 0.0000, 0.5000)  8 Zr 3.04-3.05, 4 Rh 3.12
Rh (0.0000, 0.5000, 0.5000)  4 Zr 2.72